No. 1
Entry from Alexandria via LeMat-Bulk: crystalline ThGaHg at its relaxed geometry (PBE).

The calculated volume is 146 Å³/cell. The density of states at the Fermi level is 4.625 states/eV per cell. The energy above the most stable polymorph in this dataset comes out at 16.4 kJ/mol of atoms.

The space group is I4mm (No. 107) and the conventional cell measures 3.530, 3.530 and 11.754 Å, with angles of 90.00, 90.00 and 90.00 degrees. The distinct sites, in fractional coordinates, are Th at (0.000, 0.000, 0.000), Ga at (0.000, 0.000, 0.327) and Hg at (0.000, 0.000, 0.689).

***

No. 2
Entry from Alexandria via LeMat-Bulk: crystalline TlHgCl2 at its relaxed geometry (PBE).

As for the formation energy without anion corrections: -496 meV/atom. The calculated volume is 223 Å³/cell. The density of states at the Fermi level is 5.470 states/eV per cell. The energy above the most stable polymorph in this dataset comes out at 12.7 kJ/mol of atoms.

The space group is Cmmm (No. 65) and the conventional cell measures 4.973, 6.025 and 7.432 Å, with angles of 90.00, 90.00 and 90.00 degrees. The distinct sites, in fractional coordinates, are Tl at (0.000, 0.000, 0.000), Hg at (0.000, 0.000, 0.500) and Cl at (0.000, 0.500, 0.266).

***

No. 3
Entry from Alexandria via LeMat-Bulk: crystalline La8AlGa3I4 at its relaxed geometry (PBE).

As for the formation energy without anion corrections: -770 meV/atom. The calculated volume is 1621 Å³/cell. The density of states at the Fermi level is 41.702 states/eV per cell.

The space group is R-3m (No. 166, hexagonal axes) and the conventional cell measures 9.0350, 9.0350 and 22.9246 Å, with angles of 90.00, 90.00 and 120.00 degrees. The distinct sites, in fractional coordinates, are La at (0.0000, 0.0000, 0.2379), La at (0.0039, 0.5019, 0.7603), Al at (0.0000, 0.0000, 0.5000), Ga at (0.0000, 0.5000, 0.5000), I at (0.0000, 0.0000, 0.0000) and I at (0.0000, 0.5000, 0.0000).

***

No. 4
Entry from Alexandria via LeMat-Bulk: crystalline Rh5W4 at its relaxed geometry (PBE).

The calculated volume is 274 Å³/cell. The density of states at the Fermi level is 13.569 states/eV per cell. The energy above the most stable polymorph in this dataset comes out at 6.6 kJ/mol of atoms.

The space group is P6_3/mcm (No. 193) and the conventional cell measures 7.6054, 7.6054 and 5.4619 Å, with angles of 90.00, 90.00 and 120.00 degrees. The distinct sites, in fractional coordinates, are Rh at (0.0000, 0.3353, 0.2500), Rh at (0.3333, 0.6667, 0.0000), W at (0.0000, 0.0000, 0.0000) and W at (0.0000, 0.3283, 0.7500).

***

No. 5
Entry from Alexandria via LeMat-Bulk: crystalline LaErGa2Cu2 at its relaxed geometry (PBE).

The calculated volume is 124 Å³/cell. The density of states at the Fermi level is 6.808 states/eV per cell. The calculation puts the raw total energy at -0.327 Ry per atom.

The space group is P-3m1 (No. 164) and the conventional cell measures 4.3928, 4.3928 and 7.4369 Å, with angles of 90.00, 90.00 and 120.00 degrees. The distinct sites, in fractional coordinates, are La at (0.0000, 0.0000, 0.0000), Er at (0.0000, 0.0000, 0.5000), Ga at (0.3333, 0.6667, 0.2806) and Cu at (0.3333, 0.6667, 0.7066).

***

No. 6
Entry from Alexandria via LeMat-Bulk: crystalline Dy5AlCo2 at its relaxed geometry (PBE).

The calculated volume is 755 Å³/cell. The density of states at the Fermi level is 34.172 states/eV per cell. The calculation puts the raw total energy at -0.393 Ry per atom.

The space group is I4/mcm (No. 140) and the conventional cell measures 7.571, 7.571 and 13.177 Å, with angles of 90.00, 90.00 and 90.00 degrees. The distinct sites, in fractional coordinates, are Dy at (0.000, 0.000, 0.000), Dy at (0.163, 0.337, 0.135), Al at (0.000, 0.000, 0.250) and Co at (0.130, 0.370, 0.500).

***

No. 7
Entry from Alexandria via LeMat-Bulk: crystalline InReSiO2 at its relaxed geometry (PBE).

As for the formation energy without anion corrections: -366 meV/atom. The calculated volume is 88 Å³/cell. The density of states at the Fermi level is 4.259 states/eV per cell.

The space group is P4/mmm (No. 123) and the conventional cell measures 3.806, 3.806 and 6.070 Å, with angles of 90.00, 90.00 and 90.00 degrees. The distinct sites, in fractional coordinates, are In at (0.000, 0.000, 0.000), Re at (0.000, 0.000, 0.500), Si at (0.500, 0.500, 0.000) and O at (0.000, 0.500, 0.500).

***

No. 8
Entry from Alexandria via LeMat-Bulk: crystalline Dy3CoCu at its relaxed geometry (PBE).

The calculated volume is 459 Å³/cell. The density of states at the Fermi level is 19.013 states/eV per cell. The energy above the most stable polymorph in this dataset comes out at 0.7 kJ/mol of atoms.

The space group is C2/m (No. 12) and the conventional cell measures 10.094, 6.199 and 8.030 Å, with angles of 90.00, 114.03 and 90.00 degrees. The distinct sites, in fractional coordinates, are Dy at (0.010, 0.000, 0.229), Dy at (0.190, 0.500, 0.856), Dy at (0.196, 0.500, 0.336), Co at (0.000, 0.315, 0.000) and Cu at (0.000, 0.298, 0.500).

***

No. 9
Entry from Alexandria via LeMat-Bulk: crystalline LaCeZnAu at its relaxed geometry (PBE).

The calculated volume is 103 Å³/cell. The density of states at the Fermi level is 8.658 states/eV per cell. The energy above the most stable polymorph in this dataset comes out at 0.0 kJ/mol of atoms.

The space group is P4mm (No. 99) and the conventional cell measures 3.770, 3.770 and 7.223 Å, with angles of 90.00, 90.00 and 90.00 degrees. The distinct sites, in fractional coordinates, are La at (0.000, 0.000, 0.000), Ce at (0.000, 0.000, 0.493), Zn at (0.500, 0.500, 0.260) and Au at (0.500, 0.500, 0.729).

***

No. 10
Entry from Alexandria via LeMat-Bulk: crystalline Cs3TbF7 at its relaxed geometry (PBE).

As for the formation energy without anion corrections: -3033 meV/atom. The calculated volume is 523 Å³/cell. The density of states at the Fermi level is 0.299 states/eV per cell.

The space group is Cm (No. 8) and the conventional cell measures 9.921, 10.302 and 6.880 Å, with angles of 90.00, 131.90 and 90.00 degrees. The distinct sites, in fractional coordinates, are Cs at (0.000, 0.000, 0.000), Cs at (0.030, 0.266, 0.528), Tb at (0.479, 0.000, 0.977), F at (0.142, 0.500, 0.867), F at (0.212, 0.000, 0.574), F at (0.227, 0.401, 0.379), F at (0.352, 0.000, 0.144) and F at (0.439, 0.214, 0.910).

***

No. 11
Entry from Alexandria via LeMat-Bulk: crystalline EuBS2 at its relaxed geometry (PBE).

As for the formation energy without anion corrections: -673 meV/atom. The calculated volume is 325 Å³/cell. The density of states at the Fermi level is 5.674 states/eV per cell.

The space group is R-3m (No. 166, hexagonal axes) and the conventional cell measures 4.4319, 4.4319 and 19.1084 Å, with angles of 90.00, 90.00 and 120.00 degrees. The distinct sites, in fractional coordinates, are Eu at (0.0000, 0.0000, 0.0000), B at (0.0000, 0.0000, 0.5000) and S at (0.0000, 0.0000, 0.4102).

***

No. 12
Entry from Alexandria via LeMat-Bulk: crystalline CeHoN2 at its relaxed geometry (PBE).

As for the formation energy without anion corrections: -1404 meV/atom. The calculated volume is 184 Å³/cell. The density of states at the Fermi level is 7.885 states/eV per cell.

The space group is R3m (No. 160, hexagonal axes) and the conventional cell measures 3.4317, 3.4317 and 18.0185 Å, with angles of 90.00, 90.00 and 120.00 degrees. The distinct sites, in fractional coordinates, are Ce at (0.0000, 0.0000, 0.0000), Ho at (0.0000, 0.0000, 0.1718), N at (0.0000, 0.0000, 0.5795) and N at (0.0000, 0.0000, 0.7529).